Record 1
ZnInSiNi2 | GGA-PBE | optimized geometry

Computed properties:
Energy relative to the elements, uncorrected = 508 meV per atom

Unit cell a=4.3125 b=4.3125 c=5.0889 alpha=90.00 beta=90.00 gamma=90.00
Last column: nearest neighbours and their distance in Å.
Atoms (fractional coordinates):
Zn  0.0000  0.0000  0.0000  4 In 3.05, 8 Ni 3.34
In  0.5000  0.5000  0.0000  2 Si 2.54
Si  0.5000  0.5000  0.5000  4 Ni 2.16
Ni  0.0000  0.5000  0.5000  2 Si 2.16
Ni  0.5000  0.0000  0.5000  2 Si 2.16

Record 2
SrNbAu | GGA-PBE | optimized geometry

Computed properties:
Energy relative to the elements = -135 meV per atom
Offset from the most stable computed form = 0.000 eV/atom

Unit cell a=3.5491 b=3.5676 c=11.6569 alpha=90.00 beta=90.00 gamma=90.00
Last column: nearest neighbours and their distance in Å.
Atoms (fractional coordinates):
Sr  0.0000  0.0000  0.0000  8 Au 3.28, 4 Sr 3.55-3.57
Sr  0.0000  0.0000  0.3569  4 Au 3.25, 4 Nb 3.54, 4 Sr 3.55-3.57
Nb  0.0000  0.0000  0.6730  4 Nb 2.78, 4 Au 3.04
Nb  0.5000  0.5000  0.5709  4 Nb 2.78, 1 Au 2.90
Au  0.5000  0.5000  0.1803  8 Sr 3.25-3.28, 4 Au 3.55-3.57
Au  0.5000  0.5000  0.8194  5 Nb 2.90-3.04

Record 3
Ni2MoH | GGA-PBE | optimized geometry

Computed properties:
Offset from the most stable computed form = 0.071 eV/atom

Unit cell a=4.8757 b=4.8757 c=4.8757 alpha=118.97 beta=118.97 gamma=91.79
Last column: nearest neighbours and their distance in Å.
Atoms (fractional coordinates):
Ni  0.3750  0.1814  0.3064  2 H 1.53
Ni  0.8186  0.1250  0.1936  2 H 1.53
Ni  0.8750  0.0686  0.6936  2 H 1.53
Ni  0.9314  0.6250  0.8064  2 H 1.53
Mo  0.2500  0.7500  0.5000  8 Ni 2.66-2.84
Mo  0.5000  0.5000  0.0000  8 Ni 2.66-2.84
H  0.0000  0.0000  0.0000  4 Ni 1.53
H  0.7500  0.2500  0.5000  4 Ni 1.53

Record 4
UNiSe3 | GGA-PBE | optimized geometry

Computed properties:
Energy relative to the elements, uncorrected = -757 meV per atom
Offset from the most stable computed form = 0.019 eV/atom

Unit cell a=6.4436 b=6.4436 c=9.3791 alpha=90.00 beta=90.00 gamma=145.24
Last column: nearest neighbours and their distance in Å.
Atoms (fractional coordinates):
U  0.2437  0.7563  0.7500  6 Se 2.81-2.84
U  0.7563  0.2437  0.2500  6 Se 2.81-2.84
Ni  0.0253  0.9747  0.2500  4 Se 2.30-2.34
Ni  0.9747  0.0253  0.7500  4 Se 2.30-2.34
Se  0.1566  0.8434  0.0699  1 Ni 2.34
Se  0.1566  0.8434  0.4301  1 Ni 2.34
Se  0.4228  0.5772  0.2500  2 Ni 2.30
Se  0.5772  0.4228  0.7500  2 Ni 2.30
Se  0.8434  0.1566  0.5699  1 Ni 2.34
Se  0.8434  0.1566  0.9301  1 Ni 2.34

Record 5
Pm5Dy2Er12 | GGA-PBE | optimized geometry

Computed properties:
Energy relative to the elements = 121 meV per atom
Offset from the most stable computed form = 0.000 eV/atom

Unit cell a=9.0306 b=9.0306 c=8.5842 alpha=91.90 beta=91.90 gamma=61.62
Last column: nearest neighbours and their distance in Å.
Atoms (fractional coordinates):
Pm  0.0000  0.0000  0.0000  10 Er 3.38-3.76, 2 Pm 3.61
Pm  0.2309  0.2309  0.0713  8 Er 3.37-3.63, 2 Pm 3.61
Pm  0.2933  0.2933  0.4813  8 Er 3.48-3.66, 2 Dy 3.59, 1 Pm 3.61
Pm  0.7067  0.7067  0.5187  8 Er 3.48-3.66, 2 Dy 3.59, 1 Pm 3.61
Pm  0.7691  0.7691  0.9287  8 Er 3.37-3.63, 2 Pm 3.61
Dy  0.3259  0.6741  0.5000  1 Dy 3.22, 8 Er 3.32-3.56, 2 Pm 3.59
Dy  0.6741  0.3259  0.5000  1 Dy 3.22, 8 Er 3.32-3.56, 2 Pm 3.59
Er  0.0309  0.6731  0.2600  4 Er 3.31-3.68, 1 Dy 3.32, 4 Pm 3.49-3.66
Er  0.0744  0.0744  0.3752  3 Er 3.21-3.50, 2 Pm 3.38-3.48, 2 Dy 3.41
Er  0.1803  0.5606  0.8324  5 Er 3.37-3.52, 4 Pm 3.39-3.76, 1 Dy 3.56
Er  0.3269  0.9691  0.7400  4 Er 3.31-3.68, 1 Dy 3.32, 4 Pm 3.49-3.66
Er  0.4394  0.8197  0.1676  5 Er 3.37-3.52, 4 Pm 3.39-3.76, 1 Dy 3.56
Er  0.4439  0.4439  0.1653  2 Pm 3.37-3.65, 7 Er 3.37-3.51, 2 Dy 3.38
Er  0.5561  0.5561  0.8347  2 Pm 3.37-3.65, 7 Er 3.37-3.51, 2 Dy 3.38
Er  0.5606  0.1803  0.8324  5 Er 3.37-3.52, 4 Pm 3.39-3.76, 1 Dy 3.56
Er  0.6731  0.0309  0.2600  4 Er 3.31-3.68, 1 Dy 3.32, 4 Pm 3.49-3.66
Er  0.8197  0.4394  0.1676  5 Er 3.37-3.52, 4 Pm 3.39-3.76, 1 Dy 3.56
Er  0.9256  0.9256  0.6248  3 Er 3.21-3.50, 2 Pm 3.38-3.48, 2 Dy 3.41
Er  0.9691  0.3269  0.7400  4 Er 3.31-3.68, 1 Dy 3.32, 4 Pm 3.49-3.66

Record 6
TbCo4Tc | GGA-PBE | optimized geometry

Computed properties:
Energy relative to the elements = 53 meV per atom

Unit cell a=4.9223 b=4.9223 c=4.9223 alpha=60.00 beta=60.00 gamma=60.00
Last column: nearest neighbours and their distance in Å.
Atoms (fractional coordinates):
Tb  0.0000  0.0000  0.0000  12 Co 2.89, 4 Tc 3.01
Co  0.1275  0.6242  0.6242  6 Co 2.44-2.48
Co  0.6242  0.1275  0.6242  6 Co 2.44-2.48
Co  0.6242  0.6242  0.1275  6 Co 2.44-2.48
Co  0.6242  0.6242  0.6242  6 Co 2.44-2.48
Tc  0.2500  0.2500  0.2500  12 Co 2.88, 4 Tb 3.01

no.,calculated total energy (eV per atom),DOS at the Fermi energy (states/eV/atom)
1,-3.69,0.971
2,-5.14,1.111
3,-6.19,1.449
4,-6.26,1.066
5,-4.50,1.306
6,-7.18,1.299